Record 1
Ba3CrHg | PBE | relaxed

Unit cell a=6.530 b=6.530 c=6.530 alpha=90.00 beta=90.00 gamma=90.00
Positions (direct):
1 Ba 0.000 0.000 0.500
2 Ba 0.000 0.500 0.000
3 Ba 0.500 0.000 0.000
4 Cr 0.500 0.500 0.500
5 Hg 0.000 0.000 0.000

Summary:
The value obtained for the density of states at the Fermi level is 3.95 states/eV per cell. As for the symmetry: Pm-3m (221). For the polymorph energy (0 for the lowest one), the calculation gives 0 meV/atom. The raw total energy comes out at -13.68 eV per formula unit. Its volume is 279 Å³/cell. The calculation puts the formation energy at 9.3 kcal/mol of atoms.



Record 2
Sr2Hg2As | PBE | relaxed

Unit cell a=8.314 b=8.314 c=5.033 alpha=90.00 beta=90.00 gamma=90.00
Positions (direct):
1 Sr 0.178 0.322 0.000
2 Sr 0.322 0.822 0.000
3 Sr 0.678 0.178 0.000
4 Sr 0.822 0.678 0.000
5 Hg 0.132 0.632 0.500
6 Hg 0.368 0.132 0.500
7 Hg 0.632 0.868 0.500
8 Hg 0.868 0.368 0.500
9 As 0.000 0.000 0.000
10 As 0.500 0.500 0.000

Summary:
The value obtained for the density of states at the Fermi level is 9.15 states/eV per cell. As for the symmetry: P4/mbm (127). For the polymorph energy (0 for the lowest one), the calculation gives 73 meV/atom. The raw total energy comes out at -10.75 eV per formula unit. Its volume is 348 Å³/cell. The calculation puts the formation energy at -9.8 kcal/mol of atoms.



Record 3
BaVFe2 | PBE | relaxed

Unit cell a=4.776 b=4.776 c=4.776 alpha=60.00 beta=60.00 gamma=60.00
Positions (direct):
1 Ba 0.000 0.000 0.000
2 V 0.500 0.500 0.500
3 Fe 0.250 0.250 0.250
4 Fe 0.750 0.750 0.750

Summary:
The value obtained for the density of states at the Fermi level is 4.03 states/eV per cell. As for the symmetry: Fm-3m (225). For the polymorph energy (0 for the lowest one), the calculation gives 224 meV/atom. The raw total energy comes out at -23.86 eV per formula unit. Its volume is 77 Å³/cell. The calculation puts the formation energy at 23.7 kcal/mol of atoms.



Record 4
Y4SiSe2 | PBE | relaxed

Unit cell a=8.098 b=8.098 c=8.098 alpha=141.26 beta=141.26 gamma=55.95
Positions (direct):
1 Y 0.000 0.500 0.500
2 Y 0.196 0.196 0.000
3 Y 0.500 0.000 0.500
4 Y 0.804 0.804 0.000
5 Si 0.000 0.000 0.000
6 Se 0.387 0.387 0.000
7 Se 0.613 0.613 0.000

Summary:
The uncorrected formation energy comes out at -763.5 meV per atom. The value obtained for the density of states at the Fermi level is 6.39 states/eV per cell. As for the symmetry: I4/mmm (139). For the polymorph energy (0 for the lowest one), the calculation gives 485 meV/atom. The raw total energy comes out at -43.59 eV per formula unit. Its volume is 206 Å³/cell.